VASP calculation (PBE-GGA) on a geometry-optimized HoCoTcGe3 structure.

## Properties
- size of the total moment (μB/f.u.) = 0.000
- density of states at the Fermi level (states/eV per cell) = 12.2
- calculated total energy (eV/atom) = -6.16

Cell: 7.6541 10.8354 5.6110 Å, 90.00 90.00 90.00°
Closest atoms and distances in Å follow each position.
Space group Cmcm (No. 63)
One atom of each set of equivalent atoms:
Ho 0.0000 0.2439 0.2500 [4 per cell]  2 Ge 2.81, 1 Co 2.96
Co 0.0000 0.0295 0.7500 [4 per cell]  5 Ge 2.20-2.34
Tc 0.0000 0.4470 0.7500 [4 per cell]  5 Ge 2.33-2.49
Ge 0.0000 0.2323 0.7500 [4 per cell]  1 Co 2.20, 1 Tc 2.33
Ge 0.2413 0.0000 0.0000 [8 per cell]  2 Co 2.34, 2 Tc 2.49

VASP calculation (PBE-GGA) on a geometry-optimized HoTmCo2Ge2 structure.

## Properties
- size of the total moment (μB/f.u.) = 0.000
- density of states at the Fermi level (states/eV per cell) = 5.2
- calculated total energy (eV/atom) = -6.03

Cell: 4.1795 4.1795 6.9939 Å, 90.00 90.00 120.00°
Closest atoms and distances in Å follow each position.
Space group P-3m1 (No. 164)
One atom of each set of equivalent atoms:
Ho 0.0000 0.0000 0.0000 [1 per cell]  6 Ge 3.02, 6 Co 3.06
Tm 0.0000 0.0000 0.5000 [1 per cell]  6 Co 2.91, 6 Ge 2.94
Co 0.3333 0.6667 0.7316 [2 per cell]  3 Ge 2.41
Ge 0.3333 0.6667 0.2586 [2 per cell]  3 Co 2.41

VASP calculation (PBE-GGA) on a geometry-optimized HoZn2Co2Ge structure.

## Properties
- size of the total moment (μB/f.u.) = 1.306
- density of states at the Fermi level (states/eV per cell) = 3.2
- calculated total energy (eV/atom) = -4.38

Cell: 4.3357 4.3357 5.5378 Å, 90.00 90.00 90.00°
Closest atoms and distances in Å follow each position.
Space group P4/mmm (No. 123)
One atom of each set of equivalent atoms:
Ho 0.0000 0.0000 0.0000 [1 per cell]  2 Ge 2.77
Zn 0.5000 0.5000 0.2363 [2 per cell]  4 Co 2.61, 2 Zn 2.62-2.92
Co 0.0000 0.5000 0.5000 [2 per cell]  2 Ge 2.17
Ge 0.0000 0.0000 0.5000 [1 per cell]  4 Co 2.17

VASP calculation (PBE-GGA) on a geometry-optimized HoZnCoGe2 structure.

## Properties
- size of the total moment (μB/f.u.) = 0.000
- density of states at the Fermi level (states/eV per cell) = 3.3
- calculated total energy (eV/atom) = -4.87

Cell: 5.4798 5.5141 5.6476 Å, 90.00 90.00 90.00°
Closest atoms and distances in Å follow each position.
Space group Pmma (No. 51)
One atom of each set of equivalent atoms:
Ho 0.2500 0.0000 0.2240 [2 per cell]  2 Zn 2.88, 6 Ge 3.01-3.05
Zn 0.2500 0.5000 0.3684 [2 per cell]  2 Co 2.49, 2 Ge 2.57
Co 0.0000 0.5000 0.0000 [2 per cell]  4 Ge 2.45, 2 Zn 2.49
Ge 0.2500 0.2403 0.7464 [4 per cell]  2 Co 2.45, 1 Zn 2.57, 1 Ge 2.65

VASP calculation (PBE-GGA) on a geometry-optimized CoGeI2 structure.

## Properties
- size of the total moment (μB/f.u.) = 1.503
- E_form (uncorrected) (eV/atom) = 0.7245
- density of states at the Fermi level (states/eV per cell) = 19.4
- calculated total energy (eV/atom) = -2.98

Cell: 7.2720 7.2720 7.2720 Å, 90.00 90.00 90.00°
Closest atoms and distances in Å follow each position.
Space group Fm-3m (No. 225)
One atom of each set of equivalent atoms:
Co 0.0000 0.0000 0.0000 [4 per cell]  8 I 3.15
Ge 0.0000 0.0000 0.5000 [4 per cell]  8 I 3.15
I 0.2500 0.2500 0.2500 [8 per cell]  4 Ge 3.15, 4 Co 3.15

VASP calculation (PBE-GGA) on a geometry-optimized CoGe2I structure.

## Properties
- size of the total moment (μB/f.u.) = 1.425
- E_form (uncorrected) (eV/atom) = 0.9396
- density of states at the Fermi level (states/eV per cell) = 15.4
- calculated total energy (eV/atom) = -3.53

Cell: 6.9033 6.9033 6.9033 Å, 90.00 90.00 90.00°
Closest atoms and distances in Å follow each position.
Space group Fm-3m (No. 225)
One atom of each set of equivalent atoms:
Co 0.0000 0.0000 0.0000 [4 per cell]  8 Ge 2.99
Ge 0.2500 0.2500 0.2500 [8 per cell]  4 Co 2.99, 4 I 2.99
I 0.0000 0.0000 0.5000 [4 per cell]  8 Ge 2.99

VASP calculation (PBE-GGA) on a geometry-optimized CoGe3I structure.

## Properties
- size of the total moment (μB/f.u.) = 0.000
- E_form (uncorrected) (eV/atom) = 0.1553
- density of states at the Fermi level (states/eV per cell) = 3.3
- calculated total energy (eV/atom) = -4.35

Cell: 4.7008 4.7008 4.7008 Å, 90.00 90.00 90.00°
Closest atoms and distances in Å follow each position.
Space group Pm-3m (No. 221)
One atom of each set of equivalent atoms:
Co 0.0000 0.0000 0.0000 [1 per cell]  6 Ge 2.35
Ge 0.0000 0.0000 0.5000 [3 per cell]  2 Co 2.35
I 0.5000 0.5000 0.5000 [1 per cell]  12 Ge 3.32

VASP calculation (PBE-GGA) on a geometry-optimized CoGeI2 structure.

## Properties
- size of the total moment (μB/f.u.) = 1.005
- E_form (uncorrected) (eV/atom) = 0.4688
- density of states at the Fermi level (states/eV per cell) = 13.0
- calculated total energy (eV/atom) = -3.24

Cell: 6.9872 6.9872 10.0761 Å, 90.00 90.00 90.00°
Closest atoms and distances in Å follow each position.
Space group I-42d (No. 122)
One atom of each set of equivalent atoms:
Co 0.0000 0.0000 0.0000 [4 per cell]  4 I 2.53
Ge 0.0000 0.0000 0.5000 [4 per cell]  4 I 3.06
I 0.1898 0.2500 0.1250 [8 per cell]  2 Co 2.53

VASP calculation (PBE-GGA) on a geometry-optimized CoGe2I structure.

## Properties
- size of the total moment (μB/f.u.) = 0.000
- E_form (uncorrected) (eV/atom) = 0.2792
- density of states at the Fermi level (states/eV per cell) = 8.9
- calculated total energy (eV/atom) = -4.19

Cell: 5.9484 5.9484 12.1422 Å, 90.00 90.00 90.00°
Closest atoms and distances in Å follow each position.
Space group I-42d (No. 122)
One atom of each set of equivalent atoms:
Co 0.0000 0.0000 0.0000 [4 per cell]  4 Ge 2.23
Ge 0.1136 0.2500 0.1250 [8 per cell]  2 Co 2.23
I 0.0000 0.0000 0.5000 [4 per cell]  4 Ge 3.13

VASP calculation (PBE-GGA) on a geometry-optimized In2CoGeI structure.

## Properties
- size of the total moment (μB/f.u.) = 0.000
- E_form (uncorrected) (eV/atom) = -0.1405
- density of states at the Fermi level (states/eV per cell) = 0.4
- calculated total energy (eV/atom) = -3.89

Cell: 5.2196 5.2196 4.4876 Å, 90.00 90.00 90.00°
Closest atoms and distances in Å follow each position.
Space group P4/mmm (No. 123)
One atom of each set of equivalent atoms:
In 0.0000 0.5000 0.0000 [2 per cell]  2 Co 2.61
Co 0.0000 0.0000 0.0000 [1 per cell]  2 Ge 2.24
Ge 0.0000 0.0000 0.5000 [1 per cell]  2 Co 2.24
I 0.5000 0.5000 0.5000 [1 per cell]  8 In 3.44, 4 Ge 3.69

VASP calculation (PBE-GGA) on a geometry-optimized La4CoGeI2 structure.

## Properties
- size of the total moment (μB/f.u.) = 0.000
- E_form (uncorrected) (eV/atom) = -0.8446
- density of states at the Fermi level (states/eV per cell) = 6.4
- calculated total energy (eV/atom) = -5.16

Cell: 7.5896 4.3280 8.3523 Å, 90.00 106.40 90.00°
Closest atoms and distances in Å follow each position.
Space group P2/m (No. 10)
One atom of each set of equivalent atoms:
La 0.2250 0.0000 0.1954 [2 per cell]  2 Co 2.95, 1 Ge 2.99
La 0.2336 0.5000 0.8222 [2 per cell]  1 Co 2.61
Co 0.0000 0.5000 0.0000 [1 per cell]  2 La 2.61
Ge 0.5000 0.0000 0.0000 [1 per cell]  6 La 2.99-3.05
I 0.0000 0.0000 0.5000 [1 per cell]  6 La 3.44-3.52
I 0.5000 0.5000 0.5000 [1 per cell]  6 La 3.54-3.79

VASP calculation (PBE-GGA) on a geometry-optimized La2CoGeI structure.

## Properties
- size of the total moment (μB/f.u.) = 0.000
- E_form (uncorrected) (eV/atom) = -0.6509
- density of states at the Fermi level (states/eV per cell) = 4.3
- calculated total energy (eV/atom) = -5.28

Cell: 5.5379 5.5379 4.4463 Å, 90.00 90.00 90.00°
Closest atoms and distances in Å follow each position.
Space group P4/mmm (No. 123)
One atom of each set of equivalent atoms:
La 0.0000 0.5000 0.0000 [2 per cell]  2 Co 2.77
Co 0.0000 0.0000 0.0000 [1 per cell]  2 Ge 2.22
Ge 0.0000 0.0000 0.5000 [1 per cell]  2 Co 2.22
I 0.5000 0.5000 0.5000 [1 per cell]  8 La 3.55, 4 Ge 3.92